VASP calculation (PBE) on an optimized crystal structure of NdZrNi2Sb4.

It has space group P4mm (No. 99), with a = 4.349 Å, b = 4.349 Å, c = 9.291 Å, α = 90.00°, β = 90.00° and γ = 90.00°. Symmetry generates all atoms from Nd at (0.000, 0.000, 0.000), Zr at (0.500, 0.500, 0.525), Ni at (0.000, 0.500, 0.741), Sb at (0.000, 0.000, 0.599), Sb at (0.000, 0.500, 0.276) and Sb at (0.500, 0.500, 0.890).

The value obtained for the final energy is -0.420 Ry/atom.


VASP calculation (PBE) on an optimized crystal structure of Nd3Sc3NiTe2.

It has space group P-62m (No. 189), with a = 8.3843 Å, b = 8.3843 Å, c = 3.7681 Å, α = 90.00°, β = 90.00° and γ = 120.00°. Symmetry generates all atoms from Nd at (0.0000, 0.7526, 0.0000), Sc at (0.0000, 0.4076, 0.5000), Ni at (0.0000, 0.0000, 0.5000) and Te at (0.3333, 0.6667, 0.0000).

For the energy above the lowest structure with this stoichiometry, the calculation gives 0.190 eV/atom. The value obtained for the final energy is -0.409 Ry/atom.